No. 1
VASP calculation (GGA-PBE) on a relaxed SrPmNd2As4 crystal.

Unit cell a=7.4729 b=4.2997 c=7.4835 alpha=90.00 beta=109.40 gamma=90.00
Space group P2/m (No. 10)
Symmetry-distinct sites (fractional):
Sr (0.0000, 0.0000, 0.0000) [1 per cell]
Pm (0.0000, 0.5000, 0.5000) [1 per cell]
Nd (0.5000, 0.0000, 0.5000) [1 per cell]
Nd (0.5000, 0.5000, 0.0000) [1 per cell]
As (0.2528, 0.0000, 0.7445) [2 per cell]
As (0.2592, 0.5000, 0.2607) [2 per cell]

- Total moment: 0.0 μB/cell
- DFT total energy: -5.66 eV per atom
- Fermi-level density of states: 4.6 states/eV/cell
- Mass density: 6.0 Mg/m³
- E_form: -1.340 eV/atom



No. 2
VASP calculation (GGA-PBE) on a relaxed TbPm2Nd3As6 crystal.

Unit cell a=18.4749 b=4.2413 c=8.4769 alpha=90.00 beta=103.26 gamma=90.00
Space group C2/m (No. 12)
Symmetry-distinct sites (fractional):
Tb (0.0000, 0.0000, 0.0000) [2 per cell]
Pm (0.1661, 0.5000, 0.3324) [4 per cell]
Nd (0.0000, 0.0000, 0.5000) [2 per cell]
Nd (0.1669, 0.5000, 0.8336) [4 per cell]
As (0.0002, 0.5000, 0.2446) [4 per cell]
As (0.1646, 0.0000, 0.0833) [4 per cell]
As (0.1671, 0.0000, 0.5820) [4 per cell]

- Total moment: 0.0 μB/cell
- DFT total energy: -6.21 eV per atom
- Fermi-level density of states: 3.5 states/eV/cell
- Mass density: 6.8 Mg/m³
- E_form: -1.519 eV/atom



No. 3
VASP calculation (GGA-PBE) on a relaxed Tb3PmNd2As6 crystal.

Unit cell a=18.3034 b=4.2023 c=8.3981 alpha=90.00 beta=103.24 gamma=90.00
Space group C2/m (No. 12)
Symmetry-distinct sites (fractional):
Tb (0.0000, 0.0000, 0.0000) [2 per cell]
Tb (0.1667, 0.5000, 0.3333) [4 per cell]
Pm (0.0000, 0.0000, 0.5000) [2 per cell]
Nd (0.1665, 0.5000, 0.8329) [4 per cell]
As (0.0019, 0.5000, 0.2470) [4 per cell]
As (0.1649, 0.0000, 0.0877) [4 per cell]
As (0.1679, 0.0000, 0.5783) [4 per cell]

- Total moment: 0.0 μB/cell
- DFT total energy: -6.20 eV per atom
- Fermi-level density of states: 3.6 states/eV/cell
- Mass density: 7.2 Mg/m³
- E_form: -1.525 eV/atom



No. 4
VASP calculation (GGA-PBE) on a relaxed Tb2Pm3NdAs6 crystal.

Unit cell a=18.3553 b=4.2144 c=8.4219 alpha=90.00 beta=103.27 gamma=90.00
Space group C2/m (No. 12)
Symmetry-distinct sites (fractional):
Tb (0.1674, 0.0000, 0.3341) [4 per cell]
Pm (0.0000, 0.5000, 0.5000) [2 per cell]
Pm (0.1664, 0.0000, 0.8324) [4 per cell]
Nd (0.0000, 0.5000, 0.0000) [2 per cell]
As (0.0017, 0.0000, 0.2524) [4 per cell]
As (0.1675, 0.5000, 0.0878) [4 per cell]
As (0.1680, 0.5000, 0.5797) [4 per cell]

- Total moment: 0.0 μB/cell
- DFT total energy: -6.21 eV per atom
- Fermi-level density of states: 3.5 states/eV/cell
- Mass density: 7.1 Mg/m³
- E_form: -1.525 eV/atom



No. 5
VASP calculation (GGA-PBE) on a relaxed TbPmNd2As4 crystal.

Unit cell a=7.3268 b=4.2338 c=7.3273 alpha=90.00 beta=109.46 gamma=90.00
Space group P2/m (No. 10)
Symmetry-distinct sites (fractional):
Tb (0.0000, 0.0000, 0.0000) [1 per cell]
Pm (0.0000, 0.5000, 0.5000) [1 per cell]
Nd (0.5000, 0.0000, 0.5000) [1 per cell]
Nd (0.5000, 0.5000, 0.0000) [1 per cell]
As (0.2440, 0.5000, 0.2454) [2 per cell]
As (0.2459, 0.0000, 0.7514) [2 per cell]

- Total moment: 0.0 μB/cell
- DFT total energy: -6.21 eV per atom
- Fermi-level density of states: 0.7 states/eV/cell
- Mass density: 6.9 Mg/m³
- E_form: -1.520 eV/atom



No. 6
VASP calculation (GGA-PBE) on a relaxed PmNdTeAs crystal.

Unit cell a=4.2699 b=4.2699 c=22.6329 alpha=90.00 beta=90.00 gamma=120.00
Space group R3m (No. 160, hexagonal axes)
Symmetry-distinct sites (fractional):
Pm (0.0000, 0.0000, 0.0000) [3 per cell]
Nd (0.0000, 0.0000, 0.1884) [3 per cell]
Te (0.0000, 0.0000, 0.4263) [3 per cell]
As (0.0000, 0.0000, 0.5965) [3 per cell]

- Total moment: 0.0 μB/cell
- DFT total energy: -5.84 eV per atom
- Fermi-level density of states: 8.6 states/eV/cell
- Mass density: 6.9 Mg/m³
- Energy relative to the elements, uncorrected: -1.508 eV per atom



No. 7
VASP calculation (GGA-PBE) on a relaxed Pm3NdTh2As6 crystal.

Unit cell a=18.5196 b=4.2550 c=8.4901 alpha=90.00 beta=103.22 gamma=90.00
Space group C2/m (No. 12)
Symmetry-distinct sites (fractional):
Pm (0.0000, 0.0000, 0.0000) [2 per cell]
Pm (0.1655, 0.5000, 0.3341) [4 per cell]
Nd (0.0000, 0.0000, 0.5000) [2 per cell]
Th (0.1655, 0.5000, 0.8311) [4 per cell]
As (0.0007, 0.5000, 0.7522) [4 per cell]
As (0.1673, 0.0000, 0.0824) [4 per cell]
As (0.1674, 0.0000, 0.5848) [4 per cell]

- Total moment: 0.0 μB/cell
- DFT total energy: -6.65 eV per atom
- Fermi-level density of states: 8.3 states/eV/cell
- Mass density: 7.6 Mg/m³
- E_form: -1.504 eV/atom



No. 8
VASP calculation (GGA-PBE) on a relaxed PmNd2Th3As6 crystal.

Unit cell a=18.5600 b=4.2617 c=8.5000 alpha=90.00 beta=103.18 gamma=90.00
Space group C2/m (No. 12)
Symmetry-distinct sites (fractional):
Pm (0.0000, 0.0000, 0.0000) [2 per cell]
Nd (0.1666, 0.5000, 0.3331) [4 per cell]
Th (0.0000, 0.0000, 0.5000) [2 per cell]
Th (0.1668, 0.5000, 0.8333) [4 per cell]
As (0.0008, 0.5000, 0.7497) [4 per cell]
As (0.1659, 0.0000, 0.5850) [4 per cell]
As (0.1668, 0.0000, 0.0810) [4 per cell]

- Total moment: 0.0 μB/cell
- DFT total energy: -6.85 eV per atom
- Fermi-level density of states: 11.0 states/eV/cell
- Mass density: 8.0 Mg/m³
- E_form: -1.477 eV/atom